# 1
Below is a relaxed structure of CeCu2Cl8, with properties calculated at the PBE-GGA level.

POSCAR file:
```
CeCu2Cl8
1.0
4.7068 -5.7385 0.0000
4.7068 5.7385 0.0000
-1.5606 0.0000 6.1244
Ce Cu Cl
1 2 8
Cartesian
0.0000 0.0000 0.0000
2.2130 0.0000 2.8533
5.6398 0.0000 3.2711
1.1724 1.7912 1.5487
0.5402 0.0000 4.4883
1.1724 -1.7912 1.5487
4.1039 0.0000 1.5789
3.7490 0.0000 4.5455
6.6805 1.7912 4.5756
7.3127 0.0000 1.6361
6.6805 -1.7912 4.5756
```

Properties
As for the space group: C2/m. The calculation puts the energy above the most stable polymorph in this dataset at 0.000 eV/atom.

=====

# 2
Below is a relaxed structure of CaSi2Ni4, with properties calculated at the PBE-GGA level.

POSCAR file:
```
CaSi2Ni4
1.0
7.2231 0.0000 0.0000
0.0000 7.2231 0.0000
0.0000 0.0000 3.6346
Ca Si Ni
2 4 8
Cartesian
0.0000 0.0000 0.0000
3.6116 3.6116 1.8173
1.6247 1.6247 1.8173
1.9868 5.2363 0.0000
5.2363 1.9868 0.0000
5.5984 5.5984 1.8173
0.6013 4.7727 1.8173
1.1611 3.0102 0.0000
2.4504 6.6218 1.8173
3.0102 1.1611 0.0000
4.2129 6.0620 0.0000
4.7727 0.6013 1.8173
6.0620 4.2129 0.0000
6.6218 2.4504 1.8173
```

Properties
As for the space group: P4_2/mnm. The calculation puts the energy above the most stable polymorph in this dataset at 0.000 eV/atom.

=====

# 3
Below is a relaxed structure of LiIrBr2, with properties calculated at the PBE-GGA level.

POSCAR file:
```
LiIrBr2
1.0
3.7929 0.0000 0.0000
0.0000 7.2450 0.0000
0.0000 0.0000 6.9231
Li Ir Br
2 2 4
Cartesian
0.0000 0.0000 0.0000
1.8964 3.6225 0.0000
0.0000 0.0000 3.4615
1.8964 3.6225 3.4615
0.0000 3.6225 1.8271
0.0000 3.6225 5.0960
1.8964 0.0000 1.8271
1.8964 0.0000 5.0960
```

Properties
As for the space group: Cmmm. The calculation puts the energy above the most stable polymorph in this dataset at 0.394 eV/atom.

=====

# 4
Below is a relaxed structure of PmDy4Y3S8, with properties calculated at the PBE-GGA level.

POSCAR file:
```
PmDy4Y3S8
1.0
3.9275 2.2676 6.4150
-3.9275 2.2676 6.4150
0.0000 -4.5351 6.4150
Pm Dy Y S
1 4 3 8
Cartesian
0.0000 0.0000 0.0000
-3.9275 0.0000 9.6224
-1.9638 1.1338 3.2075
1.9638 1.1338 3.2075
0.0000 0.0000 9.6224
-1.9638 -1.1338 6.4150
-1.9638 1.1338 12.8299
0.0000 2.2676 6.4149
0.0000 0.0000 4.8026
-1.9343 -1.1168 11.1936
0.0000 -2.2336 8.0513
-1.9343 1.1168 8.0513
1.9343 -1.1168 11.1935
0.0000 2.2336 11.1935
1.9344 1.1168 8.0513
0.0000 0.0000 14.4423
```

Properties
As for the space group: R-3m. As for the total energy: -6.717 eV per atom.

=====

# 5
Below is a relaxed structure of Ba2MnTlCd, with properties calculated at the PBE-GGA level.

POSCAR file:
```
Ba2MnTlCd
1.0
6.5671 0.0000 0.0000
0.0000 6.5671 0.0000
0.0000 0.0000 5.0820
Ba Mn Tl Cd
2 1 1 1
Cartesian
0.0000 3.2836 0.0000
3.2836 0.0000 0.0000
0.0000 0.0000 2.5410
3.2836 3.2836 2.5410
0.0000 0.0000 0.0000
```

Properties
As for the space group: P4/mmm. Its formation energy is 0.32 eV per atom.

=====

# 6
Below is a relaxed structure of Pm3Te2Pb, with properties calculated at the PBE-GGA level.

POSCAR file:
```
Pm3Te2Pb
1.0
3.8988 -6.7590 0.0000
3.8988 6.7590 0.0000
-2.6164 0.0000 7.3502
Pm Te Pb
6 4 2
Cartesian
0.6412 3.3795 3.6751
-0.7125 1.0987 7.3492
0.5957 -1.0987 3.6741
1.9494 -3.3795 0.0000
4.5856 1.0987 3.6761
5.8938 -1.0987 0.0010
3.2447 3.3599 1.8376
1.9365 1.1234 5.5127
3.2447 -1.1234 1.8376
1.9365 -3.3599 5.5127
1.9365 5.6111 5.5127
3.2447 -5.6111 1.8376
```

Properties
As for the space group: C2/c. The calculation puts the energy above the most stable polymorph in this dataset at 0.000 eV/atom.

=====

# 7
Below is a relaxed structure of GaAsS2, with properties calculated at the PBE-GGA level.

POSCAR file:
```
GaAsS2
1.0
3.5029 0.0000 0.0000
-1.7515 3.0336 0.0000
0.0000 0.0000 23.2733
Ga As S
3 3 6
Cartesian
0.0000 0.0000 0.0000
0.0000 2.0224 15.5156
1.7515 1.0112 7.7578
0.0000 0.0000 11.6367
0.0000 2.0224 3.8789
1.7515 1.0112 19.3944
0.0000 0.0000 9.1388
0.0000 0.0000 14.1345
0.0000 2.0224 1.3810
0.0000 2.0224 6.3768
1.7515 1.0112 16.8966
1.7515 1.0112 21.8923
```

Properties
As for the space group: R-3m. As for the total energy: -4.158 eV per atom.

=====

# 8
Below is a relaxed structure of HfBe4Cu4, with properties calculated at the PBE-GGA level.

POSCAR file:
```
HfBe4Cu4
1.0
-3.6866 3.6866 1.9688
3.6866 -3.6866 1.9688
3.6866 3.6866 -1.9688
Hf Be Cu
1 4 4
Cartesian
0.0000 0.0000 0.0000
2.6803 1.9639 0.0000
1.7226 -1.0062 1.9688
1.9639 4.6928 0.0000
1.0062 1.7226 1.9688
4.6679 0.6664 0.0000
0.6664 2.7052 0.0000
3.0202 0.9814 1.9688
-0.9814 3.0202 1.9688
```

Properties
As for the space group: I4/m. Its formation energy is 0.09 eV per atom.

=====

# 9
Below is a relaxed structure of NdHoAgGe, with properties calculated at the PBE-GGA level.

POSCAR file:
```
NdHoAgGe
1.0
7.2930 0.0000 0.0000
0.0000 7.2930 0.0000
0.0000 0.0000 7.2930
Nd Ho Ag Ge
4 4 4 4
Cartesian
0.0000 0.0000 0.0000
0.0000 3.6465 3.6465
3.6465 0.0000 3.6465
3.6465 3.6465 0.0000
0.0000 0.0000 3.6465
0.0000 3.6465 0.0000
3.6465 0.0000 0.0000
3.6465 3.6465 3.6465
1.8233 1.8233 1.8233
1.8233 5.4698 5.4698
5.4698 1.8233 5.4698
5.4698 5.4698 1.8233
1.8233 1.8233 5.4698
1.8233 5.4698 1.8233
5.4698 1.8233 1.8233
5.4698 5.4698 5.4698
```

Properties
As for the space group: F-43m. Its formation energy is -0.51 eV per atom.

=====

# 10
Below is a relaxed structure of Pr3NdAl8, with properties calculated at the PBE-GGA level.

POSCAR file:
```
Pr3NdAl8
1.0
5.6978 0.0000 0.0000
-2.8489 4.9345 0.0000
0.0000 0.0000 9.3966
Pr Nd Al
3 1 8
Cartesian
0.0000 0.0000 0.0000
0.0000 0.0000 3.4187
0.0000 3.2897 8.1155
0.0000 3.2897 4.6980
-1.3860 2.4895 1.7133
1.3867 0.8006 6.3995
1.3860 2.4895 1.7133
0.0000 4.8900 1.7133
2.8489 1.6448 4.0600
2.8489 1.6448 8.7530
4.3111 0.8006 6.3995
2.8489 3.3332 6.3995
```

Properties
As for the space group: P3m1. The calculation puts the energy above the most stable polymorph in this dataset at 0.013 eV/atom. Its formation energy is -0.48 eV per atom.

=====

# 11
Below is a relaxed structure of Nd8Ho6Mg, with properties calculated at the PBE-GGA level.

POSCAR file:
```
Nd8Ho6Mg
1.0
9.3776 0.0000 0.0000
-4.6888 8.1212 0.0000
0.0000 0.0000 6.5224
Nd Ho Mg
8 6 1
Cartesian
-3.2064 6.1940 1.1462
0.9278 2.2474 1.1462
2.4102 0.3202 5.3762
0.0000 5.4142 0.8992
4.6888 2.7071 5.6232
2.2786 7.8011 1.1462
3.7610 5.8739 5.3762
7.8952 1.9272 5.3762
-2.1498 5.2892 4.3272
1.1831 3.6148 4.3272
3.7221 0.7828 2.1952
0.9667 7.3384 4.3272
3.5057 4.5064 2.1952
6.8386 2.8320 2.1952
0.0000 0.0000 3.2612
```

Properties
As for the space group: P-3. Its formation energy is 0.14 eV per atom.

=====

# 12
Below is a relaxed structure of Cs2CdH, with properties calculated at the PBE-GGA level.

POSCAR file:
```
Cs2CdH
1.0
8.9501 0.0000 0.0000
0.0000 8.9501 0.0000
0.0000 0.0000 8.9501
Cs Cd H
8 4 4
Cartesian
2.2375 2.2375 2.2375
2.2375 2.2375 6.7126
2.2375 6.7126 2.2375
2.2375 6.7126 6.7126
6.7126 2.2375 2.2375
6.7126 2.2375 6.7126
6.7126 6.7126 2.2375
6.7126 6.7126 6.7126
0.0000 0.0000 0.0000
0.0000 4.4750 4.4750
4.4750 0.0000 4.4750
4.4750 4.4750 0.0000
0.0000 0.0000 4.4750
0.0000 4.4750 0.0000
4.4750 0.0000 0.0000
4.4750 4.4750 4.4750
```

Properties
As for the space group: Fm-3m. The calculation puts the energy above the most stable polymorph in this dataset at 0.176 eV/atom.